Compound: NpCr2GaO6
Source: Alexandria via LeMat-Bulk
Functional: PBE+U
Structure: relaxed

Lattice parameters (Å, degrees): 5.3491 5.2451 5.8144 63.21 60.66 60.63
Last column: nearest neighbours and their distance in Å.
Sites, in units of the cell vectors:
Np: 0.8118 0.8094 0.5762  6 O 2.17-2.41
Cr: 0.5191 0.5196 0.4327  5 O 2.07-2.28
Cr: 0.0112 0.0143 0.9628  6 O 1.99-2.10
Ga: 0.3221 0.3169 0.0514  5 O 1.96-2.07
O: 0.6076 0.2263 0.2341  1 Ga 2.03, 2 Cr 2.07
O: 0.2049 0.9551 0.2281  1 Ga 1.96, 1 Cr 2.09
O: 0.9315 0.6090 0.2376  1 Ga 2.01, 2 Cr 2.10-2.11
O: 0.3862 0.7138 0.7596  2 Cr 2.04-2.21, 1 Ga 2.07, 1 Np 2.20
O: 0.7267 0.1129 0.7847  1 Cr 1.99, 1 Ga 2.04, 1 Np 2.17
O: 0.1403 0.3843 0.7481  2 Cr 2.02-2.14, 1 Np 2.22, 1 Ga 2.23

Values from the calculation:
Total magnetic moment: 10.000 μB/f.u.
Total DFT energy (no corrections): -8.14 eV/atom